First-principles (PBE) data for crystalline CsScP2Se8 at its relaxed geometry, as listed in the Alexandria database. Values from VASP.

Output
V, Å³/atom: 30.89
Space group: R-3

Geometry as Quantum ESPRESSO input:
```
&SYSTEM
  ibrav = 0, nat = 12, ntyp = 4
/
ATOMIC_SPECIES
Cs 132.91 Cs.upf
Sc 44.96 Sc.upf
P 30.97 P.upf
Se 78.96 Se.upf
ATOMIC_POSITIONS crystal
Cs 0.5000 0.5000 0.5000
Sc 0.0000 0.0000 0.0000
P 0.2646 0.2646 0.2061
P 0.7354 0.7354 0.7939
Se 0.1940 0.1940 0.4180
Se 0.6022 0.3197 0.1411
Se 0.8060 0.8060 0.5820
Se 0.9370 0.6022 0.1411
Se 0.0630 0.3978 0.8589
Se 0.3197 0.9370 0.1411
Se 0.6803 0.0630 0.8589
Se 0.3978 0.6803 0.8589
CELL_PARAMETERS angstrom
6.4653 0.0000 0.0000
3.2326 5.5991 0.0000
3.2326 1.8664 10.2389
```

First-principles (PBE) data for crystalline Cs3PSe at its relaxed geometry, as listed in the Alexandria database. Values from VASP.

Output
V, Å³/atom: 66.00
Space group: Pm-3m

Geometry as Quantum ESPRESSO input:
```
&SYSTEM
  ibrav = 0, nat = 5, ntyp = 3
/
ATOMIC_SPECIES
Cs 132.91 Cs.upf
P 30.97 P.upf
Se 78.96 Se.upf
ATOMIC_POSITIONS crystal
Cs 0.0000 0.5000 0.0000
Cs 0.0000 0.0000 0.5000
Cs 0.5000 0.0000 0.0000
P 0.5000 0.5000 0.5000
Se 0.0000 0.0000 0.0000
CELL_PARAMETERS angstrom
6.9104 0.0000 0.0000
0.0000 6.9104 0.0000
0.0000 0.0000 6.9104
```

First-principles (PBE) data for crystalline Cs8P2Se at its relaxed geometry, as listed in the Alexandria database. Values from VASP.

Output
V, Å³/atom: 45.25
Space group: Immm

Geometry as Quantum ESPRESSO input:
```
&SYSTEM
  ibrav = 0, nat = 11, ntyp = 3
/
ATOMIC_SPECIES
Cs 132.91 Cs.upf
P 30.97 P.upf
Se 78.96 Se.upf
ATOMIC_POSITIONS crystal
Cs 0.6494 0.8808 0.2989
Cs 0.3506 0.5819 0.7011
Cs 0.1846 0.1846 0.3693
Cs 0.0000 0.2727 0.0000
Cs 0.8154 0.8154 0.6307
Cs 0.6494 0.4181 0.2989
Cs 0.3506 0.1192 0.7011
Cs 0.0000 0.7273 0.0000
P 0.1814 0.6814 0.3628
P 0.8186 0.3186 0.6372
Se 0.5000 0.0000 0.0000
CELL_PARAMETERS angstrom
5.7581 0.0000 -1.7524
-1.3116 7.5881 -4.3097
0.1228 0.9895 10.7397
```

First-principles (PBE) data for crystalline CsP2Se2 at its relaxed geometry, as listed in the Alexandria database. Values from VASP.

Output
V, Å³/atom: 25.79
Space group: I4/mmm

Geometry as Quantum ESPRESSO input:
```
&SYSTEM
  ibrav = 0, nat = 5, ntyp = 3
/
ATOMIC_SPECIES
Cs 132.91 Cs.upf
P 30.97 P.upf
Se 78.96 Se.upf
ATOMIC_POSITIONS crystal
Cs 0.0000 0.0000 0.0000
P 0.7500 0.2500 0.5000
P 0.2500 0.7500 0.5000
Se 0.4015 0.4015 0.1970
Se 0.5985 0.5985 0.8030
CELL_PARAMETERS angstrom
4.4914 0.0000 0.0000
0.0000 4.4914 0.0000
2.2457 2.2457 6.3930
```

First-principles (PBE) data for crystalline Cs2PSe5 at its relaxed geometry, as listed in the Alexandria database. Values from VASP.

Output
V, Å³/atom: 48.57
Space group: Cm

Geometry as Quantum ESPRESSO input:
```
&SYSTEM
  ibrav = 0, nat = 8, ntyp = 3
/
ATOMIC_SPECIES
Cs 132.91 Cs.upf
P 30.97 P.upf
Se 78.96 Se.upf
ATOMIC_POSITIONS crystal
Cs 0.2578 0.8266 0.5155
Cs 0.7019 0.1599 0.4038
P 0.9544 0.1071 0.9088
Se 0.8057 0.2575 0.0964
Se 0.2907 0.2575 0.0964
Se 0.8477 0.6704 0.9996
Se 0.1519 0.6704 0.9996
Se 0.7669 0.8276 0.5339
CELL_PARAMETERS angstrom
-0.8371 0.8875 -7.4634
6.3692 -6.2661 -1.4596
-8.2763 0.1498 4.7776
```

First-principles (PBE) data for crystalline CsPSe3 at its relaxed geometry, as listed in the Alexandria database. Values from VASP.

Output
V, Å³/atom: 40.63
Space group: R3c

Geometry as Quantum ESPRESSO input:
```
&SYSTEM
  ibrav = 0, nat = 10, ntyp = 3
/
ATOMIC_SPECIES
Cs 132.91 Cs.upf
P 30.97 P.upf
Se 78.96 Se.upf
ATOMIC_POSITIONS crystal
Cs 0.7438 0.7438 0.7438
Cs 0.2438 0.2438 0.2438
P 0.0551 0.0551 0.0551
P 0.5551 0.5551 0.5551
Se 0.2185 0.7369 0.2171
Se 0.2171 0.2185 0.7369
Se 0.7369 0.2171 0.2185
Se 0.7185 0.7171 0.2369
Se 0.7171 0.2369 0.7185
Se 0.2369 0.7185 0.7171
CELL_PARAMETERS angstrom
-6.2655 6.4172 1.8816
-7.7747 2.2100 -4.3183
-8.7376 -0.7740 2.6520
```

First-principles (PBE) data for crystalline Cs2PSe5 at its relaxed geometry, as listed in the Alexandria database. Values from VASP.

Output
V, Å³/atom: 38.69
Space group: P-1

Geometry as Quantum ESPRESSO input:
```
&SYSTEM
  ibrav = 0, nat = 16, ntyp = 3
/
ATOMIC_SPECIES
Cs 132.91 Cs.upf
P 30.97 P.upf
Se 78.96 Se.upf
ATOMIC_POSITIONS crystal
Cs 0.2241 0.2768 0.9679
Cs 0.7759 0.7232 0.0321
Cs 0.2055 0.8620 0.3711
Cs 0.7945 0.1380 0.6289
P 0.2426 0.7984 0.7772
P 0.7574 0.2016 0.2228
Se 0.2694 0.7704 0.9870
Se 0.7306 0.2296 0.0130
Se 0.2946 0.0474 0.6764
Se 0.7054 0.9526 0.3236
Se 0.0127 0.6864 0.7111
Se 0.9873 0.3136 0.2889
Se 0.4955 0.6051 0.7571
Se 0.5045 0.3949 0.2429
Se 0.4068 0.3965 0.4582
Se 0.5932 0.6035 0.5418
CELL_PARAMETERS angstrom
7.5921 -0.0065 0.0032
0.6349 7.7852 -0.0338
0.4942 0.9474 10.4691
```

First-principles (PBE) data for crystalline CsPSe at its relaxed geometry, as listed in the Alexandria database. Values from VASP.

Output
V, Å³/atom: 33.48
Space group: P1

Geometry as Quantum ESPRESSO input:
```
&SYSTEM
  ibrav = 0, nat = 6, ntyp = 3
/
ATOMIC_SPECIES
Cs 132.91 Cs.upf
P 30.97 P.upf
Se 78.96 Se.upf
ATOMIC_POSITIONS crystal
Cs 0.6667 0.2937 0.6274
Cs 0.5242 0.2151 0.1952
P 0.7624 0.8485 0.9338
P 0.4263 0.6597 0.8887
Se 0.5748 0.8268 0.5086
Se 0.6168 0.6820 0.3141
CELL_PARAMETERS angstrom
-0.1344 -2.5310 -2.4775
5.6798 -1.7068 -3.5972
5.0233 -4.8132 7.2801
```

E_form (uncorrected) values (in eV/f.u.) by entry order: -5.42; -1.12; -3.93; 1.97; -3.94; -2.49; -5.30; -1.33.
Uncorrected energy values (in eV for the cell shown) by entry order: -51.302; -12.579; -25.067; -16.669; -28.481; -38.417; -59.673; -22.161.